1 | # Zr2In2Hg, optimized geometry, DFT PBE
# Calculated density (Mg/m³): 8.9
data_Zr2In2Hg
_cell_length_a 3.1349
_cell_length_b 22.6808
_cell_length_c 3.2115
_cell_angle_alpha 90.00
_cell_angle_beta 90.00
_cell_angle_gamma 90.00
_symmetry_space_group_name_H-M 'C m m m'
_symmetry_Int_Tables_number 65
_symmetry_space_group_name_Hall '-C 2 2'
loop_
_atom_site_label
_atom_site_fract_x
_atom_site_fract_y
_atom_site_fract_z
Zr1 0.0000 0.0939 0.0000
In1 0.0000 0.3088 0.5000
Hg1 0.0000 0.5000 0.5000

2 | # Zr2In2Hg, optimized geometry, DFT PBE
# Calculated density (Mg/m³): 8.9
data_Zr2In2Hg
_cell_length_a 7.3791
_cell_length_b 7.3791
_cell_length_c 4.2114
_cell_angle_alpha 90.00
_cell_angle_beta 90.00
_cell_angle_gamma 90.00
_symmetry_space_group_name_H-M 'P 4/m b m'
_symmetry_Int_Tables_number 127
_symmetry_space_group_name_Hall '-P 4 2ab'
loop_
_atom_site_label
_atom_site_fract_x
_atom_site_fract_y
_atom_site_fract_z
Zr1 0.1706 0.3294 0.0000
In1 0.1328 0.6328 0.5000
Hg1 0.0000 0.0000 0.5000

Of them, the most stable is 1 and the least stable is 2.

1 | # ZrInHg, optimized geometry, DFT PBE
# Calculated density (Mg/m³): 8.5
data_ZrInHg
_cell_length_a 6.8316
_cell_length_b 6.8316
_cell_length_c 6.8316
_cell_angle_alpha 90.00
_cell_angle_beta 90.00
_cell_angle_gamma 90.00
_symmetry_space_group_name_H-M 'F -4 3 m'
_symmetry_Int_Tables_number 216
_symmetry_space_group_name_Hall 'F -4 2 3'
loop_
_atom_site_label
_atom_site_fract_x
_atom_site_fract_y
_atom_site_fract_z
Zr1 0.0000 0.0000 0.0000
In1 0.2500 0.2500 0.2500
Hg1 0.2500 0.2500 0.7500

2 | # ZrInHg, optimized geometry, DFT PBE
# Calculated density (Mg/m³): 10.1
data_ZrInHg
_cell_length_a 4.7936
_cell_length_b 4.7936
_cell_length_c 3.3656
_cell_angle_alpha 90.00
_cell_angle_beta 90.00
_cell_angle_gamma 120.00
_symmetry_space_group_name_H-M 'P 3 m 1'
_symmetry_Int_Tables_number 156
_symmetry_space_group_name_Hall 'P 3 -2"'
loop_
_atom_site_label
_atom_site_fract_x
_atom_site_fract_y
_atom_site_fract_z
Zr1 0.0000 0.0000 0.0000
In1 0.3333 0.6667 0.5583
Hg1 0.6667 0.3333 0.3779

3 | # ZrInHg, optimized geometry, DFT PBE
# Calculated density (Mg/m³): 9.1
data_ZrInHg
_cell_length_a 6.6787
_cell_length_b 6.6787
_cell_length_c 6.6787
_cell_angle_alpha 90.00
_cell_angle_beta 90.00
_cell_angle_gamma 90.00
_symmetry_space_group_name_H-M 'F -4 3 m'
_symmetry_Int_Tables_number 216
_symmetry_space_group_name_Hall 'F -4 2 3'
loop_
_atom_site_label
_atom_site_fract_x
_atom_site_fract_y
_atom_site_fract_z
Zr1 0.0000 0.0000 0.0000
In1 0.0000 0.0000 0.5000
Hg1 0.2500 0.2500 0.7500

4 | # ZrInHg, optimized geometry, DFT PBE
# Calculated density (Mg/m³): 9.7
data_ZrInHg
_cell_length_a 3.4442
_cell_length_b 5.4642
_cell_length_c 14.8693
_cell_angle_alpha 90.00
_cell_angle_beta 90.00
_cell_angle_gamma 90.00
_symmetry_space_group_name_H-M 'F m m 2'
_symmetry_Int_Tables_number 42
_symmetry_space_group_name_Hall 'F 2 -2'
loop_
_atom_site_label
_atom_site_fract_x
_atom_site_fract_y
_atom_site_fract_z
Zr1 0.0000 0.0000 0.0000
In1 0.0000 0.0000 0.3319
Hg1 0.0000 0.0000 0.6642

Of them, the most stable is 2 and the least stable is 1.

1 | # ZrInHg, optimized geometry, DFT PBE
# Calculated density (Mg/m³): 10.0
data_ZrInHg
_cell_length_a 3.2440
_cell_length_b 3.2440
_cell_length_c 12.8027
_cell_angle_alpha 90.00
_cell_angle_beta 90.00
_cell_angle_gamma 90.00
_symmetry_space_group_name_H-M 'I 4 m m'
_symmetry_Int_Tables_number 107
_symmetry_space_group_name_Hall 'I 4 -2'
loop_
_atom_site_label
_atom_site_fract_x
_atom_site_fract_y
_atom_site_fract_z
Zr1 0.0000 0.0000 0.0000
In1 0.0000 0.0000 0.6659
Hg1 0.0000 0.0000 0.3389

2 | # ZrInHg, optimized geometry, DFT PBE
# Calculated density (Mg/m³): 10.0
data_ZrInHg
_cell_length_a 4.5407
_cell_length_b 12.9640
_cell_length_c 4.5762
_cell_angle_alpha 90.00
_cell_angle_beta 90.00
_cell_angle_gamma 90.00
_symmetry_space_group_name_H-M 'C m c m'
_symmetry_Int_Tables_number 63
_symmetry_space_group_name_Hall '-C 2c 2'
loop_
_atom_site_label
_atom_site_fract_x
_atom_site_fract_y
_atom_site_fract_z
Zr1 0.0000 0.2493 0.2500
In1 0.0000 0.0831 0.7500
Hg1 0.0000 0.4102 0.7500

Of them, the most stable is 1 and the least stable is 2.